1.
Density functional theory data (PBE) for crystalline KMg2Fe at its relaxed geometry.

Cell: 6.622 6.622 6.622 Å, 153.01 127.88 59.67°
Fractional coordinates of all 4 atoms:
Fe (0.750, 0.250, 0.500)
Mg (0.554, 0.554, 0.000)
Mg (0.946, 0.946, 0.000)
K (0.250, 0.750, 0.500)

Properties
- Magnetization: 2.6 μB per cell
- Space group: Immm
- Formation energy from the elements: 0.5840 eV/atom
- Energy above the lowest structure with this stoichiometry: 0.1896 eV/atom
- Calculated total energy: -10.41 eV for the cell shown

2.
Density functional theory data (PBE) for crystalline KMgFe4 at its relaxed geometry.

Cell: 5.225 5.225 5.225 Å, 60.00 60.00 60.00°
Fractional coordinates of all 6 atoms:
Mg (0.000, 0.000, 0.000)
K (0.750, 0.750, 0.750)
Fe (0.369, 0.369, 0.369)
Fe (0.369, 0.892, 0.369)
Fe (0.892, 0.369, 0.369)
Fe (0.369, 0.369, 0.892)

Properties
- Magnetization: 10.6 μB per cell
- Space group: F-43m
- Formation energy from the elements: 0.6655 eV/atom
- Calculated total energy: -32.55 eV for the cell shown

3.
Density functional theory data (PBE) for crystalline KMg2Fe at its relaxed geometry.

Cell: 5.604 5.604 3.084 Å, 90.00 90.00 102.73°
Fractional coordinates of all 4 atoms:
Fe (0.500, 0.000, 0.500)
K (0.000, 0.500, 0.500)
Mg (0.000, 0.000, 0.000)
Mg (0.500, 0.500, 0.000)

Properties
- Magnetization: 2.4 μB per cell
- Space group: Cmmm
- Formation energy from the elements: 0.7518 eV/atom
- Energy above the lowest structure with this stoichiometry: 0.3574 eV/atom
- Calculated total energy: -9.74 eV for the cell shown

4.
Density functional theory data (PBE) for crystalline KMg2Fe at its relaxed geometry.

Cell: 4.607 4.607 8.161 Å, 86.33 86.33 37.74°
Fractional coordinates of all 4 atoms:
Mg (0.018, 0.018, 0.910)
Mg (0.482, 0.482, 0.590)
K (0.250, 0.250, 0.250)
Fe (0.750, 0.750, 0.750)

Properties
- Magnetization: 2.4 μB per cell
- Space group: C2/m
- Formation energy from the elements: 0.5333 eV/atom
- Energy above the lowest structure with this stoichiometry: 0.1389 eV/atom
- Calculated total energy: -10.62 eV for the cell shown

5.
Density functional theory data (PBE) for crystalline KMgFe at its relaxed geometry.

Cell: 5.134 5.134 5.134 Å, 60.00 60.00 60.00°
Fractional coordinates of all 3 atoms:
Fe (0.250, 0.250, 0.250)
K (0.000, 0.000, 0.000)
Mg (0.500, 0.500, 0.500)

Properties
- Magnetization: 2.7 μB per cell
- Space group: F-43m
- Formation energy from the elements: 1.0891 eV/atom
- Energy above the lowest structure with this stoichiometry: 0.3866 eV/atom
- Calculated total energy: -7.89 eV for the cell shown

6.
Density functional theory data (PBE) for crystalline KMgFe at its relaxed geometry.

Cell: 6.792 6.792 6.792 Å, 154.65 142.84 45.52°
Fractional coordinates of all 3 atoms:
Fe (0.051, 0.051, 0.000)
Mg (0.613, 0.613, 0.000)
K (0.336, 0.336, 0.000)

Properties
- Magnetization: 2.5 μB per cell
- Space group: Imm2
- Formation energy from the elements: 0.7064 eV/atom
- Energy above the lowest structure with this stoichiometry: 0.0040 eV/atom
- Calculated total energy: -9.04 eV for the cell shown

7.
Density functional theory data (PBE) for crystalline KMgFe at its relaxed geometry.

Cell: 7.648 7.648 7.648 Å, 155.39 155.39 35.09°
Fractional coordinates of all 3 atoms:
K (0.346, 0.346, 0.000)
Mg (0.627, 0.627, 0.000)
Fe (0.027, 0.027, 0.000)

Properties
- Magnetization: 2.8 μB per cell
- Space group: I4mm
- Formation energy from the elements: 0.7025 eV/atom
- Energy above the lowest structure with this stoichiometry: 0.0000 eV/atom
- Calculated total energy: -9.05 eV for the cell shown

8.
Density functional theory data (PBE) for crystalline KMg2Fe at its relaxed geometry.

Cell: 8.625 8.625 8.625 Å, 159.53 149.56 36.96°
Fractional coordinates of all 4 atoms:
Mg (0.649, 0.149, 0.500)
Mg (0.013, 0.013, 0.000)
K (0.323, 0.823, 0.500)
Fe (0.515, 0.515, 0.000)

Properties
- Magnetization: 2.3 μB per cell
- Space group: Imm2
- Formation energy from the elements: 0.5050 eV/atom
- Energy above the lowest structure with this stoichiometry: 0.1106 eV/atom
- Calculated total energy: -10.73 eV for the cell shown